VASP calculation (PBE) on a geometry-optimized Tb3Pm3Ga4 structure.

Lattice parameters (Å, degrees): 4.4759 10.9458 10.8510 90.00 90.00 90.00
Space group Amm2 (No. 38)
Unique sites:
Tb 0.0000 0.0000 0.0000 (multiplicity 2)
Tb 0.5000 0.2498 0.4259 (multiplicity 4)
Pm 0.0000 0.0000 0.3482 (multiplicity 2)
Pm 0.0000 0.1744 0.6761 (multiplicity 4)
Ga 0.5000 0.0000 0.5574 (multiplicity 2)
Ga 0.5000 0.0000 0.7980 (multiplicity 2)
Ga 0.5000 0.1182 0.1733 (multiplicity 4)

Properties
V: 26.6 A^3/atom
DFT formation energy: -0.5093 eV per atom
Size of the total moment: 0.00 Bohr magnetons per cell

=====

VASP calculation (PBE) on a geometry-optimized SrTaTeN2 structure.

Lattice parameters (Å, degrees): 4.2933 4.2933 6.0197 90.00 90.00 90.00
Space group P4/mmm (No. 123)
Unique sites:
Sr 0.0000 0.0000 0.0000 (multiplicity 1)
Ta 0.5000 0.5000 0.5000 (multiplicity 1)
Te 0.0000 0.0000 0.5000 (multiplicity 1)
N 0.0000 0.5000 0.0000 (multiplicity 2)

Properties
V: 22.2 A^3/atom
Uncorrected formation energy: 2.0583 eV/atom
Size of the total moment: 0.00 Bohr magnetons per cell
Energy above the most stable polymorph in this dataset: 2402 meV/atom